(1)
La3Dy4Er: relaxed, PBE.

a b c (Å): 3.5112 8.9974 8.9974
angles (deg): 82.15 78.75 78.75
Sites, in units of the cell vectors:
1 Dy 0.3657 0.8894 0.3791
2 Dy 0.3657 0.3791 0.8894
3 Dy 0.6343 0.6209 0.1106
4 Dy 0.6343 0.1106 0.6209
5 Er 0.5000 0.0000 0.0000
6 La 0.0000 0.5000 0.5000
7 La 0.2438 0.7562 0.7562
8 La 0.7562 0.2438 0.2438

## Properties
Space group = Immm (71)
Crystal system = orthorhombic
Energy relative to the lowest polymorph listed for this composition = 114 meV per atom

***

(2)
LaDyEr4: relaxed, PBE.

a b c (Å): 6.5938 6.5938 6.5938
angles (deg): 60.00 60.00 60.00
Sites, in units of the cell vectors:
1 Er 0.1226 0.6258 0.6258
2 Er 0.6258 0.1226 0.6258
3 Er 0.6258 0.6258 0.6258
4 Er 0.6258 0.6258 0.1226
5 La 0.2500 0.2500 0.2500
6 Dy 0.0000 0.0000 0.0000

## Properties
Space group = F-43m (216)
Crystal system = cubic
Energy relative to the lowest polymorph listed for this composition = 201 meV per atom

***

(3)
La3Dy3Er4: relaxed, PBE.

a b c (Å): 3.6803 9.5734 9.5734
angles (deg): 90.00 90.00 90.00
Sites, in units of the cell vectors:
1 Dy 0.5000 0.6740 0.6716
2 Dy 0.5000 0.8250 0.1750
3 Dy 0.5000 0.3284 0.3260
4 Er 0.0000 0.3813 0.6187
5 Er 0.0000 0.8719 0.8816
6 Er 0.0000 0.6234 0.3766
7 Er 0.0000 0.1184 0.1281
8 La 0.0000 0.9976 0.4943
9 La 0.5000 0.1744 0.8256
10 La 0.0000 0.5057 0.0024

## Properties
Space group = Amm2 (38)
Crystal system = orthorhombic

***

Number 1: ΔE_f 0.134 eV/atom, E_tot -4.586 eV/atom, total magnetic moment 0.0 Bohr magnetons per cell. Number 2: ΔE_f 0.277 eV/atom, E_tot -4.353 eV/atom, total magnetic moment 1.6 Bohr magnetons per cell. Number 3: ΔE_f 0.085 eV/atom, E_tot -4.599 eV/atom, total magnetic moment 0.1 Bohr magnetons per cell.